No. 1
Here is crystalline CaCr3 at its relaxed geometry from Alexandria via LeMat-Bulk. Energies are from GGA-PBE.

Cell lengths 4.653, 4.653, 4.653 Å; angles 60.00, 60.00, 60.00 degrees
Site moments in Bohr magnetons follow the coordinates.
Sites, in units of the cell vectors:
Cr: 0.750 0.750 0.750  3.19
Cr: 0.250 0.250 0.250  3.19
Cr: 0.500 0.500 0.500  -3.14
Ca: 0.000 0.000 0.000  0.10

Properties
Crystal system = cubic
Formation energy from the elements = 68.7 kJ per mole of atoms
Density of states at the Fermi level = 4.2 states/eV/cell


No. 2
Here is crystalline Tb6Ga3Ir at its relaxed geometry from Alexandria via LeMat-Bulk. Energies are from GGA-PBE.

Cell lengths 6.882, 8.805, 8.805 Å; angles 105.78, 90.00, 90.00 degrees
Sites, in units of the cell vectors:
Tb: 0.703 0.521 0.136
Tb: 0.601 0.214 0.316
Tb: 0.293 0.953 0.047
Tb: 0.703 0.864 0.479
Tb: 0.601 0.684 0.786
Tb: 0.203 0.136 0.521
Tb: 0.101 0.786 0.684
Tb: 0.203 0.479 0.864
Tb: 0.101 0.316 0.214
Tb: 0.793 0.047 0.953
Tb: 0.746 0.288 0.712
Tb: 0.246 0.712 0.288
Ga: 0.442 0.011 0.739
Ga: 0.942 0.739 0.011
Ga: 0.852 0.517 0.483
Ga: 0.442 0.261 0.989
Ga: 0.352 0.483 0.517
Ga: 0.942 0.989 0.261
Ir: 0.602 0.833 0.167
Ir: 0.102 0.167 0.833

Properties
Crystal system = orthorhombic
Formation energy from the elements = -46.1 kJ per mole of atoms
Density of states at the Fermi level = 17.5 states/eV/cell


No. 3
Here is crystalline Pr2Sm3Ni2 at its relaxed geometry from Alexandria via LeMat-Bulk. Energies are from GGA-PBE.

Cell lengths 3.730, 6.458, 8.767 Å; angles 72.28, 77.72, 73.22 degrees
Sites, in units of the cell vectors:
Sm: 0.500 0.000 0.000
Sm: 0.384 0.802 0.430
Sm: 0.616 0.198 0.570
Pr: 0.165 0.479 0.192
Pr: 0.835 0.521 0.808
Ni: 0.835 0.095 0.235
Ni: 0.165 0.905 0.765

Properties
Crystal system = monoclinic
Formation energy from the elements = -18.2 kJ per mole of atoms
Density of states at the Fermi level = 8.8 states/eV/cell


No. 4
Here is crystalline Ac4YTe6 at its relaxed geometry from Alexandria via LeMat-Bulk. Energies are from GGA-PBE.

Cell lengths 9.202, 9.202, 9.202 Å; angles 89.37, 89.37, 90.63 degrees
Sites, in units of the cell vectors:
Te: 0.183 0.421 0.440
Te: 0.440 0.817 0.421
Te: 0.560 0.183 0.579
Te: 0.921 0.683 0.940
Te: 0.817 0.579 0.560
Te: 0.940 0.079 0.683
Te: 0.683 0.060 0.079
Te: 0.060 0.921 0.317
Te: 0.317 0.940 0.921
Te: 0.421 0.560 0.817
Te: 0.579 0.440 0.183
Te: 0.079 0.317 0.060
Ac: 0.250 0.638 0.138
Ac: 0.862 0.250 0.362
Ac: 0.750 0.750 0.250
Ac: 0.750 0.362 0.862
Ac: 0.250 0.250 0.750
Ac: 0.138 0.750 0.638
Ac: 0.638 0.862 0.750
Ac: 0.362 0.138 0.250
Y: 0.000 0.000 0.000
Y: 0.500 0.500 0.500

Properties
Crystal system = trigonal
Raw formation energy = -1.46 eV per atom
Density of states at the Fermi level = 12.7 states/eV/cell


No. 5
Here is crystalline TaNbB3 at its relaxed geometry from Alexandria via LeMat-Bulk. Energies are from GGA-PBE.

Cell lengths 4.068, 4.068, 4.068 Å; angles 90.00, 90.00, 90.00 degrees
Sites, in units of the cell vectors:
B: 0.000 0.500 0.000
B: 0.000 0.000 0.500
B: 0.500 0.000 0.000
Ta: 0.500 0.500 0.500
Nb: 0.000 0.000 0.000

Properties
Crystal system = cubic
Offset from the most stable computed form = 204.6 kJ per mole of atoms
Formation energy from the elements = 131.0 kJ per mole of atoms
Density of states at the Fermi level = 4.8 states/eV/cell


No. 6
Here is crystalline Pr2Zn4CuRh3 at its relaxed geometry from Alexandria via LeMat-Bulk. Energies are from GGA-PBE.

Cell lengths 4.076, 4.076, 11.183 Å; angles 90.00, 90.00, 90.00 degrees
Sites, in units of the cell vectors:
Zn: 0.000 0.000 0.000
Zn: 0.500 0.000 0.631
Zn: 0.500 0.500 0.000
Zn: 0.000 0.500 0.369
Rh: 0.000 0.500 0.142
Rh: 0.500 0.000 0.858
Rh: 0.000 0.000 0.500
Pr: 0.000 0.500 0.754
Pr: 0.500 0.000 0.246
Cu: 0.500 0.500 0.500

Properties
Crystal system = tetragonal
Formation energy from the elements = -44.0 kJ per mole of atoms
Density of states at the Fermi level = 4.2 states/eV/cell


No. 7
Here is crystalline Th2ZnBRh6 at its relaxed geometry from Alexandria via LeMat-Bulk. Energies are from GGA-PBE.

Cell lengths 4.472, 4.472, 8.676 Å; angles 90.00, 90.00, 90.00 degrees
Sites, in units of the cell vectors:
Rh: 0.500 0.000 0.500
Rh: 0.000 0.500 0.000
Rh: 0.000 0.500 0.500
Rh: 0.500 0.500 0.274
Rh: 0.500 0.500 0.726
Rh: 0.500 0.000 0.000
B: 0.500 0.500 0.500
Th: 0.000 0.000 0.753
Th: 0.000 0.000 0.247
Zn: 0.500 0.500 0.000

Properties
Crystal system = tetragonal
Formation energy from the elements = -53.5 kJ per mole of atoms
Density of states at the Fermi level = 7.4 states/eV/cell


No. 8
Here is crystalline Ba3Na2Li at its relaxed geometry from Alexandria via LeMat-Bulk. Energies are from GGA-PBE.

Cell lengths 4.596, 4.596, 13.829 Å; angles 90.00, 90.00, 90.00 degrees
Sites, in units of the cell vectors:
Ba: 0.000 0.000 0.348
Ba: 0.000 0.000 0.652
Ba: 0.000 0.000 0.000
Li: 0.500 0.500 0.500
Na: 0.500 0.500 0.826
Na: 0.500 0.500 0.174

Properties
Crystal system = tetragonal
Formation energy from the elements = 2.4 kJ per mole of atoms
Density of states at the Fermi level = 8.5 states/eV/cell


Let's list raw total energy in order: -28.02, -101.01, -36.60, -115.67, -35.17, -45.37, -72.44, -10.17 eV for the cell shown.
Let's list V in order: 71.2, 513.5, 190.8, 779.0, 67.3, 185.8, 173.5, 292.1 Å³ per cell.